Entry 1:
A relaxed LaCrSi crystal. Source: Alexandria via LeMat-Bulk, functional PBE-GGA.

abc: 6.763 6.763 6.763
angles: 90.00 90.00 90.00
Space group F-43m (No. 216)
One atom of each set of equivalent atoms:
La 0.000 0.000 0.000
Cr 0.000 0.000 0.500
Si 0.250 0.250 0.250

Summary:
The size of the total moment comes out at 4.7 μB per formula unit. The energy relative to the elements, uncorrected is 0.045 eV per atom.

Entry 2:
A relaxed ZrTaGa3 crystal. Source: Alexandria via LeMat-Bulk, functional PBE-GGA.

abc: 4.952 4.952 4.952
angles: 90.00 90.00 90.00
Space group Pm-3m (No. 221)
One atom of each set of equivalent atoms:
Zr 0.000 0.000 0.000
Ta 0.500 0.500 0.500
Ga 0.000 0.000 0.500

Summary:
The size of the total moment comes out at 0.0 μB per formula unit. The formation enthalpy at 0 K comes out at 6.29 eV/f.u. The offset from the most stable computed form comes out at 1.309 eV/atom.